# Zn2SiP

A relaxed structure of Zn2SiP (GGA-PBEsol, Alexandria via LeMat-Bulk).

Lattice parameters (Å, degrees): 3.3016 3.7341 5.6441 109.32 107.01 90.00
Sites, in units of the cell vectors:
Zn 0.7836 0.2836 0.5673
Zn 0.9619 0.9619 0.9238
P 0.5447 0.5447 0.0895
Si 0.2097 0.7097 0.4194

Calculated values
SG = No. 44

***

# ZrZnSiP2

A relaxed structure of ZrZnSiP2 (GGA-PBEsol, Alexandria via LeMat-Bulk).

Lattice parameters (Å, degrees): 4.4730 4.5390 4.5390 90.00 90.00 90.00
Sites, in units of the cell vectors:
Zn 0.0000 0.0000 0.0000
P 0.0000 0.5000 0.0000
P 0.0000 0.0000 0.5000
Zr 0.5000 0.5000 0.5000
Si 0.5000 0.0000 0.0000

Calculated values
SG = No. 123

***

# ZrSi2P

A relaxed structure of ZrSi2P (GGA-PBEsol, Alexandria via LeMat-Bulk).

Lattice parameters (Å, degrees): 3.3465 4.6513 4.9087 118.28 109.93 90.00
Sites, in units of the cell vectors:
Si 0.7240 0.2240 0.4480
Si 0.9964 0.9964 0.9928
P 0.2779 0.7779 0.5559
Zr 0.5017 0.5017 0.0034

Calculated values
SG = No. 44

***

# ZrSiP2

A relaxed structure of ZrSiP2 (GGA-PBEsol, Alexandria via LeMat-Bulk).

Lattice parameters (Å, degrees): 3.5542 3.5542 6.8105 74.87 74.87 60.00
Sites, in units of the cell vectors:
P 0.7651 0.7651 0.7047
P 0.9967 0.9967 0.0099
Zr 0.2517 0.2517 0.2449
Si 0.4865 0.4865 0.5405

Calculated values
SG = No. 160

***

# ZrSiP2

A relaxed structure of ZrSiP2 (GGA-PBEsol, Alexandria via LeMat-Bulk).

Lattice parameters (Å, degrees): 3.8355 3.8355 5.0405 112.36 112.36 90.00
Sites, in units of the cell vectors:
P 0.7500 0.2500 0.5000
P 0.2500 0.7500 0.5000
Zr 0.5000 0.5000 0.0000
Si 0.0000 0.0000 0.0000

Calculated values
SG = No. 139

***

# ZrSi2P

A relaxed structure of ZrSi2P (GGA-PBEsol, Alexandria via LeMat-Bulk).

Lattice parameters (Å, degrees): 2.8885 2.8885 9.6520 81.39 81.39 60.00
Sites, in units of the cell vectors:
Si 0.9887 0.9887 0.0338
Si 0.2499 0.2499 0.2504
Zr 0.5027 0.5027 0.4919
P 0.7587 0.7587 0.7239

Calculated values
SG = No. 160

***

# ZrSiP2

A relaxed structure of ZrSiP2 (GGA-PBEsol, Alexandria via LeMat-Bulk).

Lattice parameters (Å, degrees): 3.6201 3.6489 5.2852 110.39 90.00 90.00
Sites, in units of the cell vectors:
P 0.5000 0.6331 0.3742
P 0.0000 0.9536 0.9472
Si 0.0000 0.0394 0.3840
Zr 0.5000 0.3740 0.7946

Calculated values
SG = No. 6

***

# ZrSiP2

A relaxed structure of ZrSiP2 (GGA-PBEsol, Alexandria via LeMat-Bulk).

Lattice parameters (Å, degrees): 3.5463 3.6654 5.2990 90.68 109.55 90.00
Sites, in units of the cell vectors:
Zr 0.7093 0.8673 0.4188
P 0.2847 0.3719 0.5694
P 0.9998 0.8950 0.9996
Si 0.5061 0.3658 0.0122

Calculated values
SG = No. 8

***

# ZrSi2P

A relaxed structure of ZrSi2P (GGA-PBEsol, Alexandria via LeMat-Bulk).

Lattice parameters (Å, degrees): 3.8053 3.8053 5.0751 112.02 112.02 90.00
Sites, in units of the cell vectors:
Si 0.7500 0.2500 0.5000
Si 0.0000 0.0000 0.0000
P 0.2500 0.7500 0.5000
Zr 0.5000 0.5000 0.0000

Calculated values
SG = No. 119

***

# ZrSiP2

A relaxed structure of ZrSiP2 (GGA-PBEsol, Alexandria via LeMat-Bulk).

Lattice parameters (Å, degrees): 3.6897 3.6897 5.2805 110.45 110.45 90.00
Sites, in units of the cell vectors:
Si 0.5000 0.5000 0.0000
Zr 0.2500 0.7500 0.5000
P 0.0000 0.0000 0.0000
P 0.7500 0.2500 0.5000

Calculated values
SG = No. 119

***

# Zr2SiP

A relaxed structure of Zr2SiP (GGA-PBEsol, Alexandria via LeMat-Bulk).

Lattice parameters (Å, degrees): 3.8504 4.8135 4.8135 62.17 66.42 66.42
Sites, in units of the cell vectors:
Zr 0.2404 0.7596 0.7596
Zr 0.7596 0.2404 0.2404
P 0.5000 0.0000 0.0000
Si 0.0000 0.5000 0.5000

Calculated values
SG = No. 71
energy above the most stable polymorph in this dataset = 0 meV/atom

***

# ZrSiP2

A relaxed structure of ZrSiP2 (GGA-PBEsol, Alexandria via LeMat-Bulk).

Lattice parameters (Å, degrees): 6.0658 6.0533 6.0658 120.07 90.00 120.07
Sites, in units of the cell vectors:
P 0.8268 0.2500 0.8750
P 0.6250 0.7500 0.1732
P 0.1250 0.7500 0.5768
P 0.4232 0.2500 0.3750
Zr 0.2500 0.5000 0.7500
Zr 0.0000 0.0000 0.0000
Si 0.5000 0.0000 0.5000
Si 0.7500 0.5000 0.2500

Calculated values
SG = No. 122

***

Final energy: -3.51; -5.00; -7.00; -6.92; -6.84; -6.46; -7.45; -7.42; -6.85; -7.01; -8.24; -6.86 (eV/atom)
D(E_F): 0.96; 3.21; 1.63; 1.13; 1.82; 2.22; 0.09; 0.07; 2.17; 1.84; 1.93; 7.68 (states/eV per cell)